## Rb2SF5 (PBE)

Data for a relaxed Rb2SF5 crystal.

Lattice parameters (Å, degrees): 6.0899 6.0912 6.1074 119.89 119.89 90.03
Closest atoms and distances in Å follow each position.
Positions (direct):
Rb  0.2504  0.7504  0.5008  10 F 3.04-3.09
Rb  0.7505  0.2505  0.5010  10 F 3.04-3.09
S  0.0104  0.0104  0.0208  4 F 1.85
F  0.7888  0.2178  0.0066  1 S 1.85
F  0.2180  0.2179  0.0067  1 S 1.85
F  0.7886  0.7887  0.0065  1 S 1.85
F  0.2178  0.7889  0.0067  1 S 1.85
F  0.7525  0.7526  0.5049  1 S 2.23

Results
Its space group is I4mm, No. 107. The total magnetic moment comes out at 1.00 Bohr magnetons per cell.


## Rb2SF7 (PBE)

Data for a relaxed Rb2SF7 crystal.

Lattice parameters (Å, degrees): 6.2845 6.2845 6.2788 59.97 59.97 90.00
Closest atoms and distances in Å follow each position.
Positions (direct):
S  0.0000  0.0000  0.0000  6 F 1.79
Rb  0.7500  0.2500  0.5000  12 F 3.17
Rb  0.2500  0.7500  0.5000  12 F 3.17
F  0.5000  0.5000  0.0000  6 F 2.64-2.65
F  0.2022  0.2022  0.5956  1 S 1.79
F  0.7978  0.7978  0.4044  1 S 1.79
F  0.2019  0.2019  0.0000  1 S 1.79
F  0.7981  0.7981  0.0000  1 S 1.79
F  0.7981  0.2019  0.0000  1 S 1.79
F  0.2019  0.7981  0.0000  1 S 1.79

Results
Its space group is I4/mmm, No. 139. The total magnetic moment comes out at 0.00 Bohr magnetons per cell.


## Rb2SF6 (PBE)

Data for a relaxed Rb2SF6 crystal.

Lattice parameters (Å, degrees): 6.1606 6.1606 6.1606 60.00 60.00 60.00
Closest atoms and distances in Å follow each position.
Positions (direct):
Rb  0.2500  0.2500  0.2500  12 F 3.09
Rb  0.7500  0.7500  0.7500  12 F 3.09
S  0.0000  0.0000  0.0000  6 F 1.88
F  0.2154  0.7846  0.7846  1 S 1.88
F  0.2154  0.7846  0.2154  1 S 1.88
F  0.7846  0.2154  0.7846  1 S 1.88
F  0.7846  0.2154  0.2154  1 S 1.88
F  0.7846  0.7846  0.2154  1 S 1.88
F  0.2154  0.2154  0.7846  1 S 1.88

Results
Its space group is Fm-3m, No. 225. The total magnetic moment comes out at 0.00 Bohr magnetons per cell.


## RbSF4 (PBE)

Data for a relaxed RbSF4 crystal.

Lattice parameters (Å, degrees): 7.0001 7.6743 8.2588 90.00 90.00 84.64
Closest atoms and distances in Å follow each position.
Positions (direct):
Rb  0.2130  0.1807  0.9044  7 F 2.87-3.17
Rb  0.2870  0.3193  0.4044  7 F 2.87-3.17
Rb  0.7130  0.6807  0.5956  7 F 2.87-3.17
Rb  0.7870  0.8193  0.0956  7 F 2.87-3.17
S  0.7374  0.1959  0.6548  3 F 1.61-1.78
S  0.7626  0.3041  0.1548  3 F 1.61-1.78
S  0.2374  0.6959  0.8452  3 F 1.61-1.78
S  0.2626  0.8041  0.3452  3 F 1.61-1.78
F  0.1999  0.9340  0.4934  1 S 1.61
F  0.8845  0.9926  0.8035  1 S 2.17
F  0.5410  0.2107  0.1263  1 S 1.78
F  0.5258  0.0913  0.6678  1 S 1.75
F  0.9742  0.4087  0.1678  1 S 1.75
F  0.9590  0.2893  0.6263  1 S 1.78
F  0.6155  0.5074  0.3035  1 S 2.17
F  0.6999  0.4340  0.0066  1 S 1.61
F  0.3001  0.5660  0.9934  1 S 1.61
F  0.3845  0.4926  0.6965  1 S 2.17
F  0.0410  0.7107  0.3737  1 S 1.78
F  0.0258  0.5913  0.8322  1 S 1.75
F  0.4742  0.9087  0.3322  1 S 1.75
F  0.4590  0.7893  0.8737  1 S 1.78
F  0.1155  0.0074  0.1965  1 S 2.17
F  0.8001  0.0660  0.5066  1 S 1.61

Results
Its space group is P2_1/c, No. 14. For the energy above the most stable polymorph in this dataset, the calculation gives 31 meV/atom. The total magnetic moment comes out at 4.00 Bohr magnetons per cell.


## RbS3F (PBE)

Data for a relaxed RbS3F crystal.

Lattice parameters (Å, degrees): 6.1946 6.1946 6.1946 90.00 90.00 90.00
Closest atoms and distances in Å follow each position.
Positions (direct):
S  0.0000  0.5000  0.0000  2 Rb 3.10
S  0.0000  0.0000  0.5000  2 Rb 3.10
S  0.5000  0.0000  0.0000  2 Rb 3.10
Rb  0.0000  0.0000  0.0000  6 S 3.10
F  0.5000  0.5000  0.5000  12 S 4.38

Results
Its space group is Pm-3m, No. 221. For the energy above the most stable polymorph in this dataset, the calculation gives 767 meV/atom. The total magnetic moment comes out at 6.00 Bohr magnetons per cell.


## Rb4SF (PBE)

Data for a relaxed Rb4SF crystal.

Lattice parameters (Å, degrees): 5.4867 5.7301 8.4547 70.19 89.91 89.99
Closest atoms and distances in Å follow each position.
Positions (direct):
Rb  0.4998  0.8698  0.1696  2 S 3.24
Rb  0.5022  0.1012  0.7062  2 F 2.82-2.83
Rb  0.0018  0.5839  0.7412  2 F 3.02, 2 S 3.34
Rb  0.0003  0.3204  0.2698  1 F 2.80
S  0.5008  0.4645  0.9805  8 Rb 3.24-3.60
F  0.0029  0.1440  0.6215  5 Rb 2.80-3.02

Results
Its space group is Cm, No. 8. The total magnetic moment comes out at 0.00 Bohr magnetons per cell.


## RbSF3 (PBE)

Data for a relaxed RbSF3 crystal.

Lattice parameters (Å, degrees): 6.5456 6.5456 6.6000 60.27 60.27 90.00
Closest atoms and distances in Å follow each position.
Positions (direct):
S  0.5000  0.5000  0.0000  4 F 1.87
S  0.0000  0.0000  0.0000  2 F 1.82
Rb  0.7500  0.2500  0.5000  12 F 3.32-3.33
Rb  0.2500  0.7500  0.5000  12 F 3.32-3.33
F  0.1931  0.1931  0.6138  1 S 1.82
F  0.8069  0.8069  0.3862  1 S 1.82
F  0.2982  0.2982  0.0000  1 S 1.87
F  0.7018  0.7018  0.0000  1 S 1.87
F  0.7018  0.2982  0.0000  1 S 1.87
F  0.2982  0.7018  0.0000  1 S 1.87

Results
Its space group is I4/mmm, No. 139. For the energy above the most stable polymorph in this dataset, the calculation gives 0 meV/atom. The total magnetic moment comes out at 2.00 Bohr magnetons per cell.


## RbS3F (PBE)

Data for a relaxed RbS3F crystal.

Lattice parameters (Å, degrees): 4.6675 4.6675 4.6675 90.00 90.00 90.00
Closest atoms and distances in Å follow each position.
Positions (direct):
S  0.0000  0.5000  0.0000  2 F 2.33
S  0.0000  0.0000  0.5000  2 F 2.33
S  0.5000  0.0000  0.0000  2 F 2.33
Rb  0.5000  0.5000  0.5000  12 S 3.30
F  0.0000  0.0000  0.0000  6 S 2.33

Results
Its space group is Pm-3m, No. 221. For the energy above the most stable polymorph in this dataset, the calculation gives 0 meV/atom. The total magnetic moment comes out at 0.00 Bohr magnetons per cell.


## RbSF4 (PBE)

Data for a relaxed RbSF4 crystal.

Lattice parameters (Å, degrees): 6.5188 6.5188 5.7732 124.37 124.37 90.00
Closest atoms and distances in Å follow each position.
Positions (direct):
Rb  0.7500  0.2500  0.5000  8 F 2.93
S  0.5000  0.5000  0.0000  4 F 1.81
F  0.3037  0.6963  0.0001  1 S 1.81
F  0.6964  0.3038  0.0001  1 S 1.81
F  0.3037  0.3036  0.9999  1 S 1.81
F  0.6962  0.6963  0.9999  1 S 1.81

Results
Its space group is I-4m2, No. 119. For the energy above the most stable polymorph in this dataset, the calculation gives 0 meV/atom. The total magnetic moment comes out at 1.00 Bohr magnetons per cell.


## Rb2SF2 (PBE)

Data for a relaxed Rb2SF2 crystal.

Lattice parameters (Å, degrees): 7.8933 7.8933 3.6498 90.00 90.00 90.00
Closest atoms and distances in Å follow each position.
Positions (direct):
S  0.0000  0.0000  0.0000  4 F 3.01
S  0.5000  0.5000  0.0000  4 F 3.01
Rb  0.1550  0.6550  0.5000  6 F 2.85-3.02
Rb  0.6550  0.8450  0.5000  6 F 2.85-3.02
Rb  0.8450  0.3450  0.5000  6 F 2.85-3.02
Rb  0.3450  0.1550  0.5000  6 F 2.85-3.02
F  0.3509  0.8509  0.0000  6 Rb 2.85-3.02, 2 S 3.01
F  0.8509  0.6491  0.0000  6 Rb 2.85-3.02, 2 S 3.01
F  0.6491  0.1491  0.0000  6 Rb 2.85-3.02, 2 S 3.01
F  0.1491  0.3509  0.0000  6 Rb 2.85-3.02, 2 S 3.01

Results
Its space group is P4/mbm, No. 127. For the energy above the most stable polymorph in this dataset, the calculation gives 265 meV/atom. The total magnetic moment comes out at 4.00 Bohr magnetons per cell.


## RbSF6 (PBE)

Data for a relaxed RbSF6 crystal.

Lattice parameters (Å, degrees): 5.2670 5.6140 5.6169 92.37 113.25 113.12
Closest atoms and distances in Å follow each position.
Positions (direct):
Rb  0.0000  0.5000  0.5000  12 F 2.99-3.28
S  0.0000  0.0000  0.0000  6 F 1.74-1.75
F  0.3117  0.2640  0.2642  1 S 1.75
F  0.8202  0.2047  0.9013  1 S 1.74
F  0.8203  0.9018  0.2043  1 S 1.74
F  0.1798  0.7953  0.0987  1 S 1.74
F  0.6883  0.7360  0.7358  1 S 1.75
F  0.1797  0.0982  0.7957  1 S 1.74

Results
Its space group is P-1, No. 2. The total magnetic moment comes out at 0.98 Bohr magnetons per cell.


## RbSF2 (PBE)

Data for a relaxed RbSF2 crystal.

Lattice parameters (Å, degrees): 6.5468 6.5468 6.5468 35.14 35.14 35.14
Closest atoms and distances in Å follow each position.
Positions (direct):
S  0.5000  0.5000  0.5000  6 F 2.70
Rb  0.0000  0.0000  0.0000  6 F 2.80
F  0.7547  0.7547  0.7547  3 S 2.70, 3 Rb 2.80
F  0.2453  0.2453  0.2453  3 S 2.70, 3 Rb 2.80

Results
Its space group is R-3m, No. 166. For the energy above the most stable polymorph in this dataset, the calculation gives 502 meV/atom. The total magnetic moment comes out at 3.00 Bohr magnetons per cell.


Table of formation energy from raw total energies (eV/atom), in record order: -2.004; -1.902; -2.130; -1.777; 1.098; -1.291; -1.639; 0.331; -1.808; -1.544; -1.879; -1.008
Table of energy (eV per atom), in record order: -3.93; -3.82; -4.05; -3.87; -1.95; -2.94; -3.78; -2.71; -3.90; -3.50; -3.92; -3.22